Record 1
Here is SrNb2Tl2O7 after structural relaxation from the Alexandria database. Energies are from GGA-PBE.

- Calculated volume: 191.0 Å³ per cell
- Formation energy from raw total energies: -2.244 eV per atom
- Symmetry: C2/m, No. 12
- D(E_F): 0.000 states/eV per cell

a = 4.0543 Å, b = 4.0543 Å, c = 11.8028 Å
α = 82.81°, β = 82.81°, γ = 89.56°
Sites, in units of the cell vectors:
Sr: 0.0000 0.0000 0.0000
Nb: 0.5859 0.5859 0.8181
Nb: 0.4141 0.4141 0.1819
Tl: 0.8083 0.8083 0.3903
Tl: 0.1917 0.1917 0.6097
O: 0.5000 0.5000 0.0000
O: 0.3849 0.3849 0.3444
O: 0.6151 0.6151 0.6556
O: 0.9418 0.4469 0.1647
O: 0.4469 0.9418 0.1647
O: 0.5531 0.0582 0.8353
O: 0.0582 0.5531 0.8353

***

Record 2
Here is ZnNiRh after structural relaxation from the Alexandria database. Energies are from GGA-PBE.

- Calculated volume: 78.4 Å³ per cell
- DFT formation energy: -12.6 kJ/mol of atoms
- Symmetry: P-1, No. 2
- Energy above the lowest structure with this stoichiometry: 40.9 meV/atom
- D(E_F): 7.950 states/eV per cell

a = 4.5435 Å, b = 4.5614 Å, c = 5.0784 Å
α = 63.84°, β = 90.65°, γ = 60.25°
Last column: magnetic moment on the atom in μB.
Sites, in units of the cell vectors:
Zn: 0.5881 0.9974 0.7519  -0.01
Zn: 0.4119 0.0026 0.2481  -0.01
Ni: 0.7508 0.3288 0.2496  0.47
Ni: 0.2492 0.6712 0.7504  0.47
Rh: 0.0887 0.6601 0.2515  0.32
Rh: 0.9113 0.3399 0.7485  0.32

***

Record 3
Here is As6W7 after structural relaxation from the Alexandria database. Energies are from GGA-PBE.

- Calculated volume: 231.5 Å³ per cell
- DFT formation energy: 40.6 kJ/mol of atoms
- Symmetry: R-3m, No. 166
- D(E_F): 6.353 states/eV per cell

a = 9.6147 Å, b = 9.6147 Å, c = 9.6147 Å
α = 32.76°, β = 32.76°, γ = 32.76°
Sites, in units of the cell vectors:
As: 0.9448 0.9448 0.9448
As: 0.0552 0.0552 0.0552
As: 0.8221 0.8221 0.8221
As: 0.1779 0.1779 0.1779
As: 0.6670 0.6670 0.6670
As: 0.3330 0.3330 0.3330
W: 0.9176 0.4237 0.4237
W: 0.4237 0.4237 0.9176
W: 0.4237 0.9176 0.4237
W: 0.0824 0.5763 0.5763
W: 0.5763 0.0824 0.5763
W: 0.5763 0.5763 0.0824
W: 0.5000 0.5000 0.5000

***

Please write out number 3 again, unchanged.
Here is As6W7 after structural relaxation from the Alexandria database. Energies are from GGA-PBE.

- Calculated volume: 231.5 Å³ per cell
- DFT formation energy: 40.6 kJ/mol of atoms
- Symmetry: R-3m, No. 166
- D(E_F): 6.353 states/eV per cell

a = 9.6147 Å, b = 9.6147 Å, c = 9.6147 Å
α = 32.76°, β = 32.76°, γ = 32.76°
Sites, in units of the cell vectors:
As: 0.9448 0.9448 0.9448
As: 0.0552 0.0552 0.0552
As: 0.8221 0.8221 0.8221
As: 0.1779 0.1779 0.1779
As: 0.6670 0.6670 0.6670
As: 0.3330 0.3330 0.3330
W: 0.9176 0.4237 0.4237
W: 0.4237 0.4237 0.9176
W: 0.4237 0.9176 0.4237
W: 0.0824 0.5763 0.5763
W: 0.5763 0.0824 0.5763
W: 0.5763 0.5763 0.0824
W: 0.5000 0.5000 0.5000

***

Question: What is the formula in the second record?
Answer: ZnNiRh

***

Question: What is the formula in the second record?
Answer: ZnNiRh

***

Question: Look up the D(E_F) of the first one.
Answer: 0.000 states/eV per cell